Compound: Pr8Y3Sc
Source: Alexandria via LeMat-Bulk
Functional: PBE
Structure: relaxed

Structure (POSCAR):
```
Pr8Y3Sc
1.0
-4.3879 4.3879 5.8770
4.3879 -4.3879 5.8770
4.3879 4.3879 -5.8770
Pr Y Sc
8 3 1
direct
0.1314 0.1314 0.7466
0.2408 0.7181 0.0000
0.2819 0.2819 0.5228
0.3848 0.3848 0.2534
0.6152 0.8686 0.0000
0.7181 0.2408 0.0000
0.7592 0.7592 0.4772
0.8686 0.6152 0.0000
0.0000 0.0000 0.0000
0.2500 0.7500 0.5000
0.7500 0.2500 0.5000
0.5000 0.5000 0.0000
```

The total energy is -57.47 eV per formula unit. As for the formation energy from the elements: 12.471 kcal/mol of atoms.